1.
AgHgAs2, relaxed, DFT GGA-PBE; final energy = -2.860 eV/atom; spin magnetization = 0.00 μB/cell; ΔE_f = 0.25 eV per atom
1.0
-1.740 2.233 0.552
-1.735 -0.820 -2.153
-5.454 -5.892 6.638
As Hg Ag
2 1 1
direct
0.000 0.000 0.957 As
0.000 0.000 0.543 As
0.500 0.500 0.250 Hg
0.500 0.500 0.750 Ag

---

2.
Ag2HgAs, relaxed, DFT GGA-PBE; final energy = -2.441 eV/atom; spin magnetization = 0.00 μB/cell; ΔE_f = 0.22 eV per atom
1.0
-3.181 0.839 -2.705
-0.643 -4.175 -0.539
-8.002 -1.656 5.544
As Hg Ag
2 2 4
direct
0.500 0.500 0.000 As
0.250 0.750 0.500 As
0.000 0.000 0.000 Hg
0.750 0.250 0.500 Hg
0.604 0.125 0.250 Ag
0.146 0.625 0.250 Ag
0.375 0.396 0.750 Ag
0.875 0.854 0.750 Ag

---

3.
AgHg2AsI, relaxed, DFT GGA-PBE; final energy = -1.892 eV/atom; spin magnetization = 0.00 μB/cell; ΔE_f (raw) = 39 meV per atom
1.0
-2.836 3.608 -2.877
-4.611 -2.086 1.931
0.167 3.241 3.899
I As Hg Ag
1 1 2 1
direct
0.500 0.500 0.500 I
0.000 0.000 0.000 As
0.000 0.500 0.000 Hg
0.500 0.000 0.000 Hg
0.000 0.000 0.500 Ag

---

4.
Ag2Hg4AsI5, relaxed, DFT GGA-PBE; final energy = -1.739 eV/atom; spin magnetization = 0.00 μB/cell; ΔE_f (raw) = -129 meV per atom
1.0
6.800 0.000 0.000
-3.400 6.782 0.000
0.000 0.000 9.388
Ag Hg As I
2 4 1 5
direct
0.002 0.604 0.500 Ag
0.397 0.396 0.500 Ag
0.591 0.000 0.204 Hg
0.591 0.000 0.796 Hg
0.529 0.403 0.000 Hg
0.125 0.597 0.000 Hg
0.335 0.000 0.000 As
0.027 0.323 0.284 I
0.371 0.000 0.500 I
0.027 0.323 0.716 I
0.705 0.677 0.716 I
0.705 0.677 0.284 I

---

5.
AgHgAsI2, relaxed, DFT GGA-PBE; final energy = -2.051 eV/atom; spin magnetization = 0.00 μB/cell; ΔE_f (raw) = 130 meV per atom
1.0
-4.814 -2.963 -1.435
1.053 -3.437 3.562
-3.060 3.090 3.886
I As Hg Ag
2 1 1 1
direct
0.000 0.000 0.500 I
0.500 0.000 0.000 I
0.000 0.000 0.000 As
0.500 0.500 0.500 Hg
0.000 0.500 0.000 Ag

---

6.
In2AgHgAs, relaxed, DFT GGA-PBE; final energy = -2.188 eV/atom; spin magnetization = 0.88 μB/cell; ΔE_f = 0.47 eV per atom
1.0
-4.826 -2.069 -1.345
1.725 -4.903 1.352
-1.749 0.783 5.071
As Hg Ag In
1 1 1 2
direct
0.500 0.500 0.500 As
0.000 0.500 0.000 Hg
0.000 0.000 0.000 Ag
0.000 0.000 0.500 In
0.500 0.000 0.000 In

---

7.
K2AgHgAs, relaxed, DFT GGA-PBE; final energy = -2.179 eV/atom; spin magnetization = 0.00 μB/cell; ΔE_f = -0.18 eV per atom
1.0
6.453 0.000 0.000
0.000 6.453 0.000
0.000 0.000 4.895
K As Hg Ag
2 1 1 1
direct
0.000 0.500 0.000 K
0.500 0.000 0.000 K
0.000 0.000 0.000 As
0.500 0.500 0.500 Hg
0.000 0.000 0.500 Ag

---

8.
MgAgHgAs, relaxed, DFT GGA-PBE; final energy = -2.424 eV/atom; spin magnetization = 0.00 μB/cell; ΔE_f = -0.07 eV per atom
1.0
-2.468 1.953 3.707
-4.448 1.824 -0.732
-3.894 -2.288 1.803
Mg As Hg Ag
1 1 1 1
direct
0.250 0.250 0.250 Mg
0.000 0.000 0.000 As
0.500 0.500 0.500 Hg
0.750 0.750 0.750 Ag

---

- Which of these has the highest final energy?
  Ag2Hg4AsI5

---

- Number 2 is which compound?
  Ag2HgAs

---

- What is the formula in the third record?
  AgHg2AsI

---

- What is the final energy in the third record?
  -1.892 eV/atom